{
  "formula": "Pr2NpFeO8",
  "functional": "PBE+U",
  "state": "optimized geometry",
  "cell": [[4.298, 0.000, 0.000], [0.839, 5.307, 0.000], [0.568, 1.196, 7.510]],
  "species": ["Pr", "Pr", "Np", "Fe", "O", "O", "O", "O", "O", "O", "O", "O"],
  "frac_coords": [[0.037, 0.055, 0.232], [0.963, 0.945, 0.768], [0.500, 0.500, 0.500], [0.500, 0.500, 0.000], [0.087, 0.719, 0.512], [0.168, 0.752, 0.039], [0.412, 0.216, 0.676], [0.466, 0.326, 0.243], [0.534, 0.674, 0.757], [0.588, 0.784, 0.324], [0.832, 0.248, 0.961], [0.913, 0.281, 0.488]],
  "sg": "P-1, No. 2",
  "total_energy_ev_per_atom": -8.23
}